1.
Compound: PuTh2Ag
Source: Alexandria
Functional: PBE
Structure: optimized geometry

Calculated density   12.674 Mg/m³
Energy of formation   -0.03 eV/f.u.
Fermi-level density of states   6.133 states/eV/f.u.

Unit cell a=5.525 b=5.525 c=3.503 alpha=90.00 beta=90.00 gamma=90.00
Sites, in units of the cell vectors:
Pu  0.000  0.000  0.000
Th  0.000  0.500  0.500
Th  0.500  0.000  0.500
Ag  0.500  0.500  0.000

=====

2.
Compound: PuThAg2
Source: Alexandria
Functional: PBE
Structure: optimized geometry

Calculated density   11.468 Mg/m³
Energy of formation   0.70 eV/f.u.
Fermi-level density of states   10.159 states/eV/f.u.

Unit cell a=10.706 b=10.706 c=10.706 alpha=17.81 beta=17.81 gamma=17.81
Sites, in units of the cell vectors:
Pu  0.000  0.000  0.000
Th  0.500  0.500  0.500
Ag  0.252  0.252  0.252
Ag  0.748  0.748  0.748

=====

3.
Compound: PuThAg2
Source: Alexandria
Functional: PBE
Structure: optimized geometry

Calculated density   11.246 Mg/m³
Energy of formation   0.29 eV/f.u.
Fermi-level density of states   13.576 states/eV/f.u.

Unit cell a=5.247 b=5.247 c=5.247 alpha=60.00 beta=60.00 gamma=60.00
Sites, in units of the cell vectors:
Pu  0.000  0.000  0.000
Th  0.500  0.500  0.500
Ag  0.250  0.250  0.250
Ag  0.750  0.750  0.750

=====

4.
Compound: PuThZnAg
Source: Alexandria
Functional: PBE
Structure: optimized geometry

Calculated density   10.878 Mg/m³
Energy of formation   0.02 eV/f.u.
Fermi-level density of states   11.375 states/eV/f.u.

Unit cell a=5.195 b=5.195 c=5.195 alpha=60.00 beta=60.00 gamma=60.00
Sites, in units of the cell vectors:
Pu  0.000  0.000  0.000
Th  0.500  0.500  0.500
Zn  0.750  0.750  0.750
Ag  0.250  0.250  0.250

=====

5.
Compound: PuTi2Ag
Source: Alexandria
Functional: PBE
Structure: optimized geometry

Calculated density   9.864 Mg/m³
Energy of formation   0.51 eV/f.u.
Fermi-level density of states   5.688 states/eV/f.u.

Unit cell a=3.068 b=3.068 c=8.004 alpha=90.00 beta=90.00 gamma=90.00
Sites, in units of the cell vectors:
Pu  0.000  0.000  0.000
Ti  0.500  0.500  0.262
Ti  0.500  0.500  0.738
Ag  0.000  0.000  0.500

=====

6.
Compound: PuTi2Ag
Source: Alexandria
Functional: PBE
Structure: optimized geometry

Calculated density   10.200 Mg/m³
Energy of formation   0.44 eV/f.u.
Fermi-level density of states   6.018 states/eV/f.u.

Unit cell a=4.852 b=4.852 c=3.095 alpha=90.00 beta=90.00 gamma=90.00
Sites, in units of the cell vectors:
Pu  0.000  0.000  0.000
Ti  0.000  0.500  0.500
Ti  0.500  0.000  0.500
Ag  0.500  0.500  0.000

=====

7.
Compound: PuTiAg
Source: Alexandria
Functional: PBE
Structure: optimized geometry

Calculated density   12.701 Mg/m³
Energy of formation   0.40 eV/f.u.
Fermi-level density of states   4.070 states/eV/f.u.

Unit cell a=3.206 b=3.206 c=10.172 alpha=90.00 beta=90.00 gamma=90.00
Sites, in units of the cell vectors:
Pu  0.250  0.250  0.054
Pu  0.750  0.750  0.946
Ti  0.250  0.250  0.755
Ti  0.750  0.750  0.245
Ag  0.250  0.250  0.413
Ag  0.750  0.750  0.587

=====

8.
Compound: PuTiAg2
Source: Alexandria
Functional: PBE
Structure: optimized geometry

Calculated density   10.604 Mg/m³
Energy of formation   0.41 eV/f.u.
Fermi-level density of states   8.532 states/eV/f.u.

Unit cell a=3.013 b=3.013 c=8.755 alpha=90.00 beta=90.00 gamma=90.00
Sites, in units of the cell vectors:
Pu  0.000  0.000  0.000
Ti  0.000  0.000  0.500
Ag  0.500  0.500  0.280
Ag  0.500  0.500  0.720